# NdPaPd14 (PBE, relaxed)
# Space group = P4/mmm
# ΔE_f = -6.83 eV/f.u.
# Size of the total moment = 0.0 μB per formula unit
data_NdPaPd14
_chemical_formula_sum 'Nd1 Pa1 Pd14'
_cell_length_a 5.870
_cell_length_b 5.870
_cell_length_c 7.807
_cell_angle_alpha 90.00
_cell_angle_beta 90.00
_cell_angle_gamma 90.00
_symmetry_space_group_name_H-M 'P 1'
_symmetry_Int_Tables_number 1
loop_
_symmetry_equiv_pos_as_xyz
'x,y,z'
loop_
_atom_site_label
_atom_site_fract_x
_atom_site_fract_y
_atom_site_fract_z
Nd1 0.375 0.375 0.500
Pa1 0.875 0.875 0.500
Pd1 0.875 0.875 0.000
Pd2 0.375 0.375 0.000
Pd3 0.875 0.375 0.500
Pd4 0.875 0.375 0.000
Pd5 0.375 0.875 0.500
Pd6 0.375 0.875 0.000
Pd7 0.631 0.119 0.243
Pd8 0.631 0.119 0.757
Pd9 0.119 0.631 0.243
Pd10 0.119 0.631 0.757
Pd11 0.631 0.631 0.243
Pd12 0.631 0.631 0.757
Pd13 0.119 0.119 0.243
Pd14 0.119 0.119 0.757

# Nd2PaPdS5 (PBE, relaxed)
# Space group = Cmc2_1
# Energy relative to the elements, uncorrected = -1.64 eV per atom
# Size of the total moment = 0.5 μB per formula unit
data_Nd2PaPdS5
_chemical_formula_sum 'Nd4 Pa2 Pd2 S10'
_cell_length_a 3.916
_cell_length_b 8.425
_cell_length_c 12.247
_cell_angle_alpha 90.00
_cell_angle_beta 90.00
_cell_angle_gamma 103.44
_symmetry_space_group_name_H-M 'P 1'
_symmetry_Int_Tables_number 1
loop_
_symmetry_equiv_pos_as_xyz
'x,y,z'
loop_
_atom_site_label
_atom_site_fract_x
_atom_site_fract_y
_atom_site_fract_z
Nd1 0.892 0.785 0.852
Nd2 0.115 0.230 0.695
Nd3 0.108 0.215 0.352
Nd4 0.885 0.770 0.195
Pa1 0.818 0.637 0.523
Pa2 0.182 0.363 0.023
Pd1 0.559 0.117 0.917
Pd2 0.441 0.883 0.417
S1 0.347 0.693 0.023
S2 0.701 0.402 0.865
S3 0.493 0.986 0.743
S4 0.302 0.604 0.681
S5 0.981 0.962 0.524
S6 0.653 0.307 0.523
S7 0.299 0.598 0.365
S8 0.507 0.014 0.243
S9 0.698 0.396 0.181
S10 0.019 0.038 0.024

# NdPaPdS4 (PBE, relaxed)
# Space group = P2_1/m
# Energy relative to the elements, uncorrected = -1.41 eV per atom
# Size of the total moment = 0.0 μB per formula unit
data_NdPaPdS4
_chemical_formula_sum 'Nd2 Pa2 Pd2 S8'
_cell_length_a 6.457
_cell_length_b 6.287
_cell_length_c 7.735
_cell_angle_alpha 90.00
_cell_angle_beta 106.78
_cell_angle_gamma 90.00
_symmetry_space_group_name_H-M 'P 1'
_symmetry_Int_Tables_number 1
loop_
_symmetry_equiv_pos_as_xyz
'x,y,z'
loop_
_atom_site_label
_atom_site_fract_x
_atom_site_fract_y
_atom_site_fract_z
Nd1 0.776 0.750 0.950
Nd2 0.224 0.250 0.050
Pa1 0.763 0.750 0.442
Pa2 0.237 0.250 0.558
Pd1 0.235 0.750 0.325
Pd2 0.765 0.250 0.675
S1 0.034 0.520 0.740
S2 0.966 0.020 0.260
S3 0.966 0.480 0.260
S4 0.034 0.980 0.740
S5 0.460 0.750 0.124
S6 0.540 0.250 0.876
S7 0.469 0.750 0.621
S8 0.531 0.250 0.379

# Nd2PaPdSe5 (PBE, relaxed)
# Space group = Cmc2_1
# Energy relative to the elements, uncorrected = -1.48 eV per atom
# Size of the total moment = 0.7 μB per formula unit
data_Nd2PaPdSe5
_chemical_formula_sum 'Nd4 Pa2 Pd2 Se10'
_cell_length_a 4.036
_cell_length_b 8.884
_cell_length_c 12.718
_cell_angle_alpha 90.00
_cell_angle_beta 90.00
_cell_angle_gamma 103.13
_symmetry_space_group_name_H-M 'P 1'
_symmetry_Int_Tables_number 1
loop_
_symmetry_equiv_pos_as_xyz
'x,y,z'
loop_
_atom_site_label
_atom_site_fract_x
_atom_site_fract_y
_atom_site_fract_z
Nd1 0.900 0.800 0.854
Nd2 0.121 0.242 0.698
Nd3 0.100 0.200 0.354
Nd4 0.879 0.758 0.198
Pa1 0.821 0.642 0.520
Pa2 0.179 0.358 0.020
Pd1 0.562 0.124 0.920
Pd2 0.438 0.876 0.420
Se1 0.345 0.689 0.021
Se2 0.702 0.403 0.858
Se3 0.497 0.994 0.742
Se4 0.306 0.613 0.682
Se5 0.982 0.964 0.529
Se6 0.655 0.311 0.521
Se7 0.298 0.597 0.358
Se8 0.503 0.006 0.242
Se9 0.694 0.387 0.182
Se10 0.018 0.036 0.029

# PmNdPa2Rh4 (PBE, relaxed)
# Space group = Fmm2
# ΔE_f = -4.99 eV/f.u.
# Size of the total moment = 0.0 μB per formula unit
data_PmNdPa2Rh4
_chemical_formula_sum 'Pm1 Nd1 Pa2 Rh4'
_cell_length_a 5.718
_cell_length_b 5.718
_cell_length_c 7.028
_cell_angle_alpha 117.14
_cell_angle_beta 117.14
_cell_angle_gamma 83.03
_symmetry_space_group_name_H-M 'P 1'
_symmetry_Int_Tables_number 1
loop_
_symmetry_equiv_pos_as_xyz
'x,y,z'
loop_
_atom_site_label
_atom_site_fract_x
_atom_site_fract_y
_atom_site_fract_z
Pm1 0.884 0.884 0.000
Nd1 0.461 0.461 0.000
Pa1 0.198 0.698 0.500
Pa2 0.698 0.198 0.500
Rh1 0.978 0.372 0.000
Rh2 0.372 0.978 0.000
Rh3 0.197 0.197 0.488
Rh4 0.710 0.710 0.512

# Pm2NdPa2Ru5 (PBE, relaxed)
# Space group = P4/mbm
# ΔE_f = -2.62 eV/f.u.
# Size of the total moment = 0.0 μB per formula unit
data_Pm2NdPa2Ru5
_chemical_formula_sum 'Pm4 Nd2 Pa4 Ru10'
_cell_length_a 3.941
_cell_length_b 10.576
_cell_length_c 10.576
_cell_angle_alpha 90.00
_cell_angle_beta 90.00
_cell_angle_gamma 90.00
_symmetry_space_group_name_H-M 'P 1'
_symmetry_Int_Tables_number 1
loop_
_symmetry_equiv_pos_as_xyz
'x,y,z'
loop_
_atom_site_label
_atom_site_fract_x
_atom_site_fract_y
_atom_site_fract_z
Pm1 0.000 0.676 0.176
Pm2 0.000 0.324 0.824
Pm3 0.000 0.176 0.324
Pm4 0.000 0.824 0.676
Nd1 0.000 0.000 0.000
Nd2 0.000 0.500 0.500
Pa1 0.000 0.125 0.625
Pa2 0.000 0.875 0.375
Pa3 0.000 0.625 0.875
Pa4 0.000 0.375 0.125
Ru1 0.500 0.223 0.071
Ru2 0.500 0.777 0.929
Ru3 0.500 0.071 0.777
Ru4 0.500 0.723 0.429
Ru5 0.500 0.929 0.223
Ru6 0.500 0.277 0.571
Ru7 0.500 0.571 0.723
Ru8 0.500 0.429 0.277
Ru9 0.500 0.500 0.000
Ru10 0.500 0.000 0.500

# PmNd2Pa2Ru5 (PBE, relaxed)
# Space group = P4/mbm
# ΔE_f = -2.51 eV/f.u.
# Size of the total moment = 0.0 μB per formula unit
data_PmNd2Pa2Ru5
_chemical_formula_sum 'Pm2 Nd4 Pa4 Ru10'
_cell_length_a 3.934
_cell_length_b 10.601
_cell_length_c 10.601
_cell_angle_alpha 90.00
_cell_angle_beta 90.00
_cell_angle_gamma 90.00
_symmetry_space_group_name_H-M 'P 1'
_symmetry_Int_Tables_number 1
loop_
_symmetry_equiv_pos_as_xyz
'x,y,z'
loop_
_atom_site_label
_atom_site_fract_x
_atom_site_fract_y
_atom_site_fract_z
Pm1 0.000 0.000 0.000
Pm2 0.000 0.500 0.500
Nd1 0.000 0.676 0.176
Nd2 0.000 0.324 0.824
Nd3 0.000 0.176 0.324
Nd4 0.000 0.824 0.676
Pa1 0.000 0.125 0.625
Pa2 0.000 0.875 0.375
Pa3 0.000 0.625 0.875
Pa4 0.000 0.375 0.125
Ru1 0.500 0.222 0.070
Ru2 0.500 0.778 0.930
Ru3 0.500 0.070 0.778
Ru4 0.500 0.722 0.430
Ru5 0.500 0.930 0.222
Ru6 0.500 0.278 0.570
Ru7 0.500 0.570 0.722
Ru8 0.500 0.430 0.278
Ru9 0.500 0.500 0.000
Ru10 0.500 0.000 0.500

# Pm2NdPaS4 (PBE, relaxed)
# Space group = P2/m
# Energy relative to the elements, uncorrected = -1.90 eV per atom
# Size of the total moment = 0.0 μB per formula unit
data_Pm2NdPaS4
_chemical_formula_sum 'Pm2 Nd1 Pa1 S4'
_cell_length_a 3.987
_cell_length_b 6.942
_cell_length_c 6.940
_cell_angle_alpha 109.17
_cell_angle_beta 90.00
_cell_angle_gamma 90.00
_symmetry_space_group_name_H-M 'P 1'
_symmetry_Int_Tables_number 1
loop_
_symmetry_equiv_pos_as_xyz
'x,y,z'
loop_
_atom_site_label
_atom_site_fract_x
_atom_site_fract_y
_atom_site_fract_z
Pm1 0.500 0.000 0.500
Pm2 0.000 0.500 0.500
Nd1 0.000 0.000 0.000
Pa1 0.500 0.500 0.000
S1 0.500 0.256 0.248
S2 0.500 0.744 0.752
S3 0.000 0.258 0.756
S4 0.000 0.742 0.244

# Pm2NdPaSb5 (PBE, relaxed)
# Space group = P4/mmm
# Energy relative to the elements, uncorrected = -0.20 eV per atom
# Size of the total moment = 0.0 μB per formula unit
data_Pm2NdPaSb5
_chemical_formula_sum 'Pm2 Nd1 Pa1 Sb5'
_cell_length_a 5.460
_cell_length_b 5.460
_cell_length_c 11.825
_cell_angle_alpha 90.00
_cell_angle_beta 90.00
_cell_angle_gamma 90.00
_symmetry_space_group_name_H-M 'P 1'
_symmetry_Int_Tables_number 1
loop_
_symmetry_equiv_pos_as_xyz
'x,y,z'
loop_
_atom_site_label
_atom_site_fract_x
_atom_site_fract_y
_atom_site_fract_z
Pm1 0.500 0.500 0.270
Pm2 0.500 0.500 0.730
Nd1 0.000 0.000 0.000
Pa1 0.000 0.000 0.500
Sb1 0.000 0.500 0.500
Sb2 0.500 0.000 0.500
Sb3 0.000 0.000 0.750
Sb4 0.000 0.000 0.250
Sb5 0.500 0.500 0.000

# PrNd2Pa (PBE, relaxed)
# Space group = P4/mmm
# ΔE_f = 0.63 eV/f.u.
# Polymorph energy (0 for the lowest one) = 0 meV per atom
# Size of the total moment = 0.0 μB per formula unit
data_PrNd2Pa
_chemical_formula_sum 'Pr1 Nd2 Pa1'
_cell_length_a 3.476
_cell_length_b 3.476
_cell_length_c 10.680
_cell_angle_alpha 90.00
_cell_angle_beta 90.00
_cell_angle_gamma 90.00
_symmetry_space_group_name_H-M 'P 1'
_symmetry_Int_Tables_number 1
loop_
_symmetry_equiv_pos_as_xyz
'x,y,z'
loop_
_atom_site_label
_atom_site_fract_x
_atom_site_fract_y
_atom_site_fract_z
Pr1 0.500 0.500 0.500
Pa1 0.500 0.500 0.000
Nd1 0.000 0.000 0.775
Nd2 0.000 0.000 0.225

# PrNdPa4 (PBE, relaxed)
# Space group = F-43m
# ΔE_f = 1.51 eV/f.u.
# Size of the total moment = 0.0 μB per formula unit
data_PrNdPa4
_chemical_formula_sum 'Pr1 Nd1 Pa4'
_cell_length_a 6.199
_cell_length_b 6.199
_cell_length_c 6.199
_cell_angle_alpha 60.00
_cell_angle_beta 60.00
_cell_angle_gamma 60.00
_symmetry_space_group_name_H-M 'P 1'
_symmetry_Int_Tables_number 1
loop_
_symmetry_equiv_pos_as_xyz
'x,y,z'
loop_
_atom_site_label
_atom_site_fract_x
_atom_site_fract_y
_atom_site_fract_z
Pr1 0.250 0.250 0.250
Pa1 0.625 0.625 0.125
Pa2 0.625 0.125 0.625
Pa3 0.625 0.625 0.625
Pa4 0.125 0.625 0.625
Nd1 0.000 0.000 0.000

# Pr2NdPa (PBE, relaxed)
# Space group = R-3m
# ΔE_f = 1.37 eV/f.u.
# Polymorph energy (0 for the lowest one) = 171 meV per atom
# Size of the total moment = 0.0 μB per formula unit
data_Pr2NdPa
_chemical_formula_sum 'Pr2 Nd1 Pa1'
_cell_length_a 3.417
_cell_length_b 3.417
_cell_length_c 12.851
_cell_angle_alpha 82.36
_cell_angle_beta 82.36
_cell_angle_gamma 60.00
_symmetry_space_group_name_H-M 'P 1'
_symmetry_Int_Tables_number 1
loop_
_symmetry_equiv_pos_as_xyz
'x,y,z'
loop_
_atom_site_label
_atom_site_fract_x
_atom_site_fract_y
_atom_site_fract_z
Pr1 0.085 0.085 0.745
Pr2 0.915 0.915 0.255
Pa1 0.000 0.000 0.000
Nd1 0.500 0.500 0.500